Below is crystalline PmScTe2O at its relaxed geometry, with properties calculated at the GGA-PBE level.

abc: 4.116 4.116 15.116
angles: 90.00 90.00 90.00
Fractional coordinates of all 10 atoms:
1 Pm 0.250 0.250 0.075
2 Pm 0.750 0.750 0.925
3 Sc 0.250 0.250 0.618
4 Sc 0.750 0.750 0.382
5 Te 0.250 0.250 0.412
6 Te 0.250 0.250 0.799
7 Te 0.750 0.750 0.201
8 Te 0.750 0.750 0.588
9 O 0.250 0.750 0.000
10 O 0.750 0.250 0.000

Results
- Calculated volume: 128.06 Å³/f.u.
- SG: P4/nmm (129)
- Formation energy from raw total energies: -2.00 eV per atom

Below is crystalline Ba2MoI at its relaxed geometry, with properties calculated at the GGA-PBE level.

abc: 7.736 7.736 7.736
angles: 109.40 109.40 109.61
Fractional coordinates of all 8 atoms:
1 Ba 0.100 0.625 0.975
2 Ba 0.375 0.350 0.475
3 Ba 0.650 0.125 0.025
4 Ba 0.875 0.900 0.525
5 Mo 0.000 0.000 0.000
6 Mo 0.750 0.250 0.500
7 I 0.250 0.750 0.500
8 I 0.500 0.500 0.000

Results
- Calculated volume: 178.17 Å³/f.u.
- SG: I-42d (122)
- Formation energy from raw total energies: 0.44 eV per atom

Below is crystalline TaTlZn at its relaxed geometry, with properties calculated at the GGA-PBE level.

abc: 7.281 7.070 3.013
angles: 81.84 73.98 24.18
Fractional coordinates of all 3 atoms:
1 Ta 0.000 0.000 0.000
2 Tl 0.678 0.678 0.322
3 Zn 0.349 0.349 0.651

Results
- Calculated volume: 58.63 Å³/f.u.
- Formation enthalpy at 0 K: 0.435 eV per atom
- SG: Fmm2 (42)

Below is crystalline BaRu2Pt at its relaxed geometry, with properties calculated at the GGA-PBE level.

abc: 4.278 4.278 4.264
angles: 90.00 90.00 90.00
Fractional coordinates of all 4 atoms:
1 Ba 0.000 0.000 0.000
2 Ru 0.000 0.500 0.500
3 Ru 0.500 0.000 0.500
4 Pt 0.500 0.500 0.000

Results
- Calculated volume: 78.04 Å³/f.u.
- Formation enthalpy at 0 K: 0.869 eV per atom
- SG: P4/mmm (123)

Question: Among the records above, which one has the highest calculated volume?
Answer: Ba2MoI